No. 1
# InFeOs2

A geometry-optimized InFeOs2 structure (GGA-PBE, Alexandria via LeMat-Bulk).

Energy relative to the elements (meV per atom): 387
Space group: C2/m (12)

abc: 4.721 4.721 4.919
angles: 78.41 78.41 34.88
Sites, in units of the cell vectors:
Fe1 0.250 0.250 0.250
In1 0.750 0.750 0.750
Os1 0.984 0.984 0.036
Os2 0.516 0.516 0.464

=====

No. 2
# Nd6AlTe12

A geometry-optimized Nd6AlTe12 structure (GGA-PBE, Alexandria via LeMat-Bulk).

ΔE_f (raw) (kJ per mole of atoms): -105.35
Space group: R-3 (148)

abc: 8.902 8.902 8.902
angles: 99.19 99.19 99.19
Sites, in units of the cell vectors:
Nd1 0.700 0.870 0.361
Nd2 0.639 0.300 0.130
Nd3 0.130 0.639 0.300
Nd4 0.300 0.130 0.639
Nd5 0.361 0.700 0.870
Nd6 0.870 0.361 0.700
Al1 0.000 0.000 0.000
Te1 0.816 0.564 0.430
Te2 0.430 0.816 0.564
Te3 0.564 0.430 0.816
Te4 0.184 0.436 0.570
Te5 0.570 0.184 0.436
Te6 0.436 0.570 0.184
Te7 0.053 0.982 0.317
Te8 0.018 0.683 0.947
Te9 0.683 0.947 0.018
Te10 0.947 0.018 0.683
Te11 0.982 0.317 0.053
Te12 0.317 0.053 0.982

=====

No. 3
# InTe2Pt

A geometry-optimized InTe2Pt structure (GGA-PBE, Alexandria via LeMat-Bulk).

ΔE_f (raw) (kJ per mole of atoms): 3.80
Space group: C2/m (12)

abc: 8.745 6.566 3.072
angles: 61.81 110.98 138.56
Sites, in units of the cell vectors:
In1 0.000 0.500 0.500
Pt1 0.500 0.500 0.000
Te1 0.000 0.000 0.000
Te2 0.500 0.000 0.500

=====

No. 4
# Ti5Fe2TcRh2

A geometry-optimized Ti5Fe2TcRh2 structure (GGA-PBE, Alexandria via LeMat-Bulk).

Energy relative to the elements (meV per atom): -242
Space group: P4/mbm (127)

abc: 3.081 9.802 9.802
angles: 90.00 90.00 90.00
Sites, in units of the cell vectors:
Ti1 0.500 0.198 0.081
Ti2 0.500 0.802 0.919
Ti3 0.500 0.081 0.802
Ti4 0.500 0.698 0.419
Ti5 0.500 0.919 0.198
Ti6 0.500 0.302 0.581
Ti7 0.500 0.581 0.698
Ti8 0.500 0.419 0.302
Ti9 0.500 0.500 0.000
Ti10 0.500 0.000 0.500
Fe1 0.000 0.127 0.627
Fe2 0.000 0.873 0.373
Fe3 0.000 0.627 0.873
Fe4 0.000 0.373 0.127
Tc1 0.000 0.000 0.000
Tc2 0.000 0.500 0.500
Rh1 0.000 0.669 0.169
Rh2 0.000 0.331 0.831
Rh3 0.000 0.169 0.331
Rh4 0.000 0.831 0.669

=====

No. 5
# Ho2PaP

A geometry-optimized Ho2PaP structure (GGA-PBE, Alexandria via LeMat-Bulk).

Energy relative to the elements (meV per atom): -248
Space group: R-3m (166)

abc: 3.533 3.533 10.292
angles: 80.12 80.12 60.00
Sites, in units of the cell vectors:
P1 0.500 0.500 0.500
Pa1 0.000 0.000 0.000
Ho1 0.110 0.110 0.669
Ho2 0.890 0.890 0.331

=====

No. 6
# TaPb4

A geometry-optimized TaPb4 structure (GGA-PBE, Alexandria via LeMat-Bulk).

Energy relative to the elements (meV per atom): 563
Offset from the most stable computed form (eV/atom): 0.155
Space group: Pm-3m (221)

abc: 5.544 5.544 5.544
angles: 90.00 90.00 90.00
Sites, in units of the cell vectors:
Pb1 0.000 0.000 0.000
Pb2 0.500 0.000 0.500
Pb3 0.000 0.500 0.500
Pb4 0.500 0.500 0.000
Ta1 0.500 0.500 0.500

=====

No. 7
# PuZrPaV

A geometry-optimized PuZrPaV structure (GGA-PBE, Alexandria via LeMat-Bulk).

Energy relative to the elements (meV per atom): 123
Space group: F-43m (216)

abc: 4.922 4.922 4.922
angles: 60.00 60.00 60.00
Sites, in units of the cell vectors:
V1 0.750 0.750 0.750
Pa1 0.000 0.000 0.000
Zr1 0.500 0.500 0.500
Pu1 0.250 0.250 0.250

=====

No. 8
# Ta2NbRh3

A geometry-optimized Ta2NbRh3 structure (GGA-PBE, Alexandria via LeMat-Bulk).

Energy relative to the elements (meV per atom): -462
Space group: P4/mmm (123)

abc: 2.886 2.886 11.514
angles: 90.00 90.00 90.00
Sites, in units of the cell vectors:
Ta1 0.500 0.500 0.834
Ta2 0.500 0.500 0.166
Nb1 0.500 0.500 0.500
Rh1 0.000 0.000 0.000
Rh2 0.000 0.000 0.669
Rh3 0.000 0.000 0.331